[1]
Density functional theory data (PBE) for a relaxed structure of CeSm2CuSe5.

Geometry as POSCAR:
```
CeSm2CuSe5
1.0
2.026 -9.040 0.000
2.026 9.040 0.000
0.000 0.000 12.091
Ce Sm Cu Se
2 4 2 10
direct
0.196 0.804 0.500 Ce
0.804 0.196 0.000 Ce
0.105 0.895 0.174 Sm
0.117 0.883 0.800 Sm
0.883 0.117 0.300 Sm
0.895 0.105 0.674 Sm
0.437 0.563 0.943 Cu
0.563 0.437 0.443 Cu
0.043 0.957 0.551 Se
0.292 0.708 0.174 Se
0.321 0.679 0.829 Se
0.360 0.640 0.492 Se
0.498 0.502 0.268 Se
0.502 0.498 0.768 Se
0.640 0.360 0.992 Se
0.679 0.321 0.329 Se
0.708 0.292 0.674 Se
0.957 0.043 0.051 Se
```

Properties
- Crystal system: orthorhombic
- Energy relative to the elements, uncorrected: -1531 meV/atom
- Total moment: 1.746 μB per cell
- Total energy: -5.630 eV per atom
- Symmetry: Cmc2_1 (36)



[2]
Density functional theory data (PBE) for a relaxed structure of Li2Ga8Pd.

Geometry as POSCAR:
```
Li2Ga8Pd
1.0
8.352 -2.052 0.000
8.352 2.052 0.000
-0.843 0.000 5.602
Li Ga Pd
2 8 1
direct
0.203 0.203 0.107 Li
0.797 0.797 0.893 Li
0.011 0.011 0.226 Ga
0.199 0.199 0.607 Ga
0.369 0.369 0.692 Ga
0.375 0.375 0.172 Ga
0.625 0.625 0.828 Ga
0.631 0.631 0.308 Ga
0.801 0.801 0.393 Ga
0.989 0.989 0.774 Ga
0.500 0.500 0.500 Pd
```

Properties
- Crystal system: monoclinic
- Offset from the most stable computed form: 1.2 kJ/mol of atoms
- Total moment: 0.000 μB per cell
- Total energy: -3.260 eV per atom
- Formation energy from the elements: -0.238 eV per atom
- Symmetry: C2/m (12)



[3]
Density functional theory data (PBE) for a relaxed structure of CaAcPrAl.

Geometry as POSCAR:
```
CaAcPrAl
1.0
0.000 4.028 4.028
4.028 0.000 4.028
4.028 4.028 0.000
Ca Ac Pr Al
1 1 1 1
direct
0.000 0.000 0.000 Ca
0.250 0.250 0.250 Ac
0.750 0.750 0.750 Pr
0.500 0.500 0.500 Al
```

Properties
- Crystal system: cubic
- Total moment: 0.000 μB per cell
- Total energy: -3.702 eV per atom
- Formation energy from the elements: -0.044 eV per atom
- Symmetry: F-43m (216)



[4]
Density functional theory data (PBE) for a relaxed structure of CaTbCeY.

Geometry as POSCAR:
```
CaTbCeY
1.0
0.000 4.084 4.084
4.084 0.000 4.084
4.084 4.084 0.000
Ca Tb Ce Y
1 1 1 1
direct
0.000 0.000 0.000 Ca
0.750 0.750 0.750 Tb
0.500 0.500 0.500 Ce
0.250 0.250 0.250 Y
```

Properties
- Crystal system: cubic
- Total moment: 2.054 μB per cell
- Total energy: -4.520 eV per atom
- Formation energy from the elements: 0.238 eV per atom
- Symmetry: F-43m (216)



[5]
Density functional theory data (PBE) for a relaxed structure of BeCoTe2.

Geometry as POSCAR:
```
BeCoTe2
1.0
3.717 -1.757 0.000
3.717 1.757 0.000
-1.302 0.000 6.537
Be Co Te
1 1 2
direct
0.000 0.000 0.000 Be
0.274 0.274 0.940 Co
0.543 0.543 0.737 Te
0.794 0.794 0.225 Te
```

Properties
- Crystal system: monoclinic
- Energy relative to the elements, uncorrected: -82 meV/atom
- Total moment: 0.000 μB per cell
- Total energy: -4.361 eV per atom
- Symmetry: Cm (8)